1.
Material: BeOs2W
Method: DFT, meta-GGA SCAN
State: single point on PBEsol structure

Cell lengths 2.7024, 3.8896, 5.1325 Å; angles 90.00, 97.18, 90.00 degrees
Closest atoms and distances in Å follow each position.
Fractional coordinates of all 4 atoms:
1 Be 0.5442 0.5000 0.7610  4 Os 2.41-2.59, 2 W 2.63
2 Os 0.9283 0.0000 0.9756  2 Be 2.41, 1 W 2.45
3 Os 0.4953 0.5000 0.2547  2 Be 2.55-2.59, 4 W 2.67-2.73, 6 Os 2.70-2.76
4 W 0.0322 0.0000 0.5087  6 Os 2.45-2.73, 2 Be 2.63, 2 W 2.70

DOS(E_F): 0.486 states/eV per atom
Size of the total moment: 0.00 μB/atom
Calculated total energy: -54.405 eV/atom
ΔE_f: 0.046 eV/atom
Calculated density: 17.79 Mg/m³
Space group: No. 6



2.
Material: BeOs2W
Method: DFT, meta-GGA SCAN
State: single point on PBEsol structure

Cell lengths 2.9379, 2.9379, 6.0054 Å; angles 90.00, 90.00, 90.00 degrees
Closest atoms and distances in Å follow each position.
Fractional coordinates of all 4 atoms:
1 Be 0.5000 0.5000 0.5000  8 Os 2.47
2 Os 0.0000 0.0000 0.7227  4 Be 2.47, 4 W 2.66, 1 Os 2.67
3 Os 0.0000 0.0000 0.2773  4 Be 2.47, 4 W 2.66, 1 Os 2.67
4 W 0.5000 0.5000 0.0000  8 Os 2.66, 4 W 2.94

DOS(E_F): 0.490 states/eV per atom
Size of the total moment: 0.00 μB/atom
Calculated total energy: -54.633 eV/atom
ΔE_f: -0.183 eV/atom
Calculated density: 18.37 Mg/m³
Space group: No. 123



3.
Material: Be2OsW
Method: DFT, meta-GGA SCAN
State: single point on PBEsol structure

Cell lengths 2.8674, 3.5382, 4.6090 Å; angles 90.00, 108.12, 90.00 degrees
Closest atoms and distances in Å follow each position.
Fractional coordinates of all 4 atoms:
1 Be 0.8112 0.0000 0.6224  2 Be 2.09
2 Be 0.6846 0.5000 0.3692  2 Be 2.09
3 Os 0.0912 0.0000 0.1824  7 Be 2.40-2.45
4 W 0.4130 0.5000 0.8260  7 Be 2.38-2.46

DOS(E_F): 0.369 states/eV per atom
Size of the total moment: 0.00 μB/atom
Calculated total energy: -37.728 eV/atom
ΔE_f: -0.160 eV/atom
Calculated density: 14.65 Mg/m³
Space group: No. 38



4.
Material: YBeOs
Method: DFT, meta-GGA SCAN
State: single point on PBEsol structure

Cell lengths 3.6443, 3.9958, 3.9958 Å; angles 120.00, 90.00, 90.00 degrees
Closest atoms and distances in Å follow each position.
Fractional coordinates of all 3 atoms:
1 Y 0.5000 0.6667 0.3333  6 Be 2.94, 6 Os 2.94
2 Be 0.0000 0.0000 0.0000  3 Os 2.31
3 Os 0.0000 0.3333 0.6667  3 Be 2.31

DOS(E_F): 0.334 states/eV per atom
Size of the total moment: 0.00 μB/atom
Calculated total energy: -34.933 eV/atom
ΔE_f: -0.241 eV/atom
Calculated density: 9.50 Mg/m³
Space group: No. 187



5.
Material: Y2BeOs
Method: DFT, meta-GGA SCAN
State: single point on PBEsol structure

Cell lengths 3.9232, 4.0184, 5.5851 Å; angles 111.08, 90.00, 90.00 degrees
Closest atoms and distances in Å follow each position.
Fractional coordinates of all 4 atoms:
1 Y 0.0000 0.9866 0.9731  2 Be 2.83, 4 Os 2.93
2 Y 0.5000 0.2668 0.5337  3 Os 2.89-3.13, 4 Be 2.96
3 Be 0.0000 0.6780 0.3560  2 Os 2.28
4 Os 0.5000 0.5675 0.1349  2 Be 2.28

DOS(E_F): 0.894 states/eV per atom
Size of the total moment: 0.00 μB/atom
Calculated total energy: -33.265 eV/atom
ΔE_f: -0.285 eV/atom
Calculated density: 7.62 Mg/m³
Space group: No. 38



6.
Material: Y3BeOs
Method: DFT, meta-GGA SCAN
State: single point on PBEsol structure

Cell lengths 4.8948, 4.8948, 4.8948 Å; angles 90.00, 90.00, 90.00 degrees
Closest atoms and distances in Å follow each position.
Fractional coordinates of all 5 atoms:
1 Y 0.0000 0.5000 0.0000  2 Be 2.45
2 Y 0.0000 0.0000 0.5000  2 Be 2.45
3 Y 0.5000 0.0000 0.0000  2 Be 2.45
4 Be 0.0000 0.0000 0.0000  6 Y 2.45
5 Os 0.5000 0.5000 0.5000  12 Y 3.46

DOS(E_F): 1.005 states/eV per atom
Size of the total moment: 0.00 μB/atom
Calculated total energy: -31.197 eV/atom
ΔE_f: 0.756 eV/atom
Calculated density: 6.60 Mg/m³
Space group: No. 221



7.
Material: BeZn2Os
Method: DFT, meta-GGA SCAN
State: single point on PBEsol structure

Cell lengths 3.3926, 3.3926, 4.8210 Å; angles 110.60, 110.60, 90.00 degrees
Closest atoms and distances in Å follow each position.
Fractional coordinates of all 4 atoms:
1 Be 0.0000 0.0000 0.0000  4 Os 2.40
2 Zn 0.2500 0.7500 0.5000  4 Zn 2.40
3 Zn 0.7500 0.2500 0.5000  4 Zn 2.40
4 Os 0.5000 0.5000 0.0000  4 Be 2.40

DOS(E_F): 0.057 states/eV per atom
Size of the total moment: 0.00 μB/atom
Calculated total energy: -25.897 eV/atom
ΔE_f: -0.081 eV/atom
Calculated density: 11.39 Mg/m³
Space group: No. 139



8.
Material: BeZn2Os
Method: DFT, meta-GGA SCAN
State: single point on PBEsol structure

Cell lengths 2.5994, 3.8210, 5.1723 Å; angles 90.00, 104.55, 90.00 degrees
Closest atoms and distances in Å follow each position.
Fractional coordinates of all 4 atoms:
1 Be 0.3031 0.0000 0.6062  3 Zn 2.33-2.41, 4 Os 2.46, 2 Be 2.60
2 Zn 0.0701 0.0000 0.1402  1 Be 2.33, 6 Zn 2.60-2.61
3 Zn 0.4499 0.5000 0.8998  2 Be 2.41, 6 Zn 2.60-2.61, 3 Os 2.66-2.69
4 Os 0.7185 0.5000 0.4371  4 Be 2.46, 2 Os 2.60, 7 Zn 2.66-2.75

DOS(E_F): 0.384 states/eV per atom
Size of the total moment: 0.00 μB/atom
Calculated total energy: -25.797 eV/atom
ΔE_f: 0.018 eV/atom
Calculated density: 11.02 Mg/m³
Space group: No. 38